Crystalline CaNbZn2Se at its relaxed geometry, computed with PBE-GGA.

The space group is P4/mmm (No. 123) and the conventional cell measures 5.000, 5.000 and 4.880 Å, with angles of 90.00, 90.00 and 90.00 degrees. The asymmetric unit holds Ca at (0.000, 0.000, 0.000), Nb at (0.500, 0.500, 0.000), Zn at (0.000, 0.500, 0.500) and Se at (0.500, 0.500, 0.500).

As for the uncorrected formation energy: 432 meV/atom. As for the total DFT energy (no corrections): -15.94 eV/cell. The value obtained for the total magnetic moment is 0.9 Bohr magnetons per cell.